# 1
Material: SiAgCl2
Method: DFT, PBEsol
State: relaxed

Summary:
- crystal system = orthorhombic
- D(E_F) (states/eV/f.u.) = 0.89
- formation energy from raw total energies (eV/atom) = -0.138
- space group = Immm (71)

abc: 3.238 4.259 13.230
angles: 90.00 90.00 90.00
Fractional coordinates of all 8 atoms:
Si: 0.000 0.000 0.000
Si: 0.500 0.500 0.500
Ag: 0.000 0.000 0.500
Ag: 0.500 0.500 0.000
Cl: 0.000 0.500 0.352
Cl: 0.000 0.500 0.648
Cl: 0.500 0.000 0.148
Cl: 0.500 0.000 0.852



# 2
Material: SiAgCl2
Method: DFT, PBEsol
State: relaxed

Summary:
- crystal system = orthorhombic
- D(E_F) (states/eV/f.u.) = 0.93
- formation energy from raw total energies (eV/atom) = -0.035
- space group = Imm2 (44)

abc: 3.167 5.634 8.835
angles: 90.00 90.00 90.00
Fractional coordinates of all 8 atoms:
Si: 0.000 0.000 0.000
Si: 0.500 0.500 0.500
Ag: 0.000 0.500 0.716
Ag: 0.500 0.000 0.216
Cl: 0.000 0.000 0.453
Cl: 0.000 0.500 0.285
Cl: 0.500 0.000 0.785
Cl: 0.500 0.500 0.953



# 3
Material: SiAgCl2
Method: DFT, PBEsol
State: relaxed

Summary:
- crystal system = tetragonal
- D(E_F) (states/eV/f.u.) = 1.79
- formation energy from raw total energies (eV/atom) = 0.152
- space group = I-4m2 (119)

abc: 3.716 3.716 12.203
angles: 90.00 90.00 90.00
Fractional coordinates of all 8 atoms:
Si: 0.000 0.000 0.000
Si: 0.500 0.500 0.500
Ag: 0.000 0.500 0.250
Ag: 0.500 0.000 0.750
Cl: 0.000 0.000 0.500
Cl: 0.000 0.500 0.750
Cl: 0.500 0.000 0.250
Cl: 0.500 0.500 0.000